Entry from Alexandria via LeMat-Bulk: a relaxed structure of UTcSn (PBE).

- Fermi-level density of states (states/eV per cell) = 4.17
- energy (eV/atom) = -8.60
- M_tot (μB per atom) = 0.462
- space group = No. 107

Cell: 3.234 3.234 6.280 Å, 104.92 104.92 90.00°
Element x y z (fractional)
1 U 0.312 0.312 0.624
2 Sn 0.021 0.021 0.042
3 Tc 0.667 0.667 0.334


Entry from Alexandria via LeMat-Bulk: a relaxed structure of KNa2BiPt (PBE).

- Fermi-level density of states (states/eV per cell) = 2.35
- energy (eV/atom) = -2.95
- M_tot (μB per atom) = 0.000
- space group = No. 123

Cell: 5.607 5.607 5.375 Å, 90.00 90.00 90.00°
Element x y z (fractional)
1 K 0.500 0.500 0.500
2 Bi 0.000 0.000 0.500
3 Na 0.000 0.500 0.000
4 Na 0.500 0.000 0.000
5 Pt 0.000 0.000 0.000


Entry from Alexandria via LeMat-Bulk: a relaxed structure of YPSeCl2 (PBE).

- Fermi-level density of states (states/eV per cell) = 4.11
- M_tot (μB per atom) = 0.014
- space group = No. 123
- uncorrected formation energy (eV per formula unit) = -2.79

Cell: 5.067 5.067 5.940 Å, 90.00 90.00 90.00°
Element x y z (fractional)
1 Se 0.500 0.500 0.500
2 Cl 0.500 0.000 0.000
3 P 0.000 0.000 0.500
4 Cl 0.000 0.500 0.000
5 Y 0.000 0.000 0.000


Entry from Alexandria via LeMat-Bulk: a relaxed structure of MnCd2Hg2 (PBE).

- Fermi-level density of states (states/eV per cell) = 5.27
- energy (eV/atom) = -2.04
- M_tot (μB per atom) = 0.862
- space group = No. 127

Cell: 7.365 7.365 4.282 Å, 90.00 90.00 90.00°
Element x y z (fractional)
1 Mn 0.000 0.000 0.000
2 Cd 0.341 0.159 0.500
3 Mn 0.500 0.500 0.000
4 Hg 0.851 0.649 0.000
5 Cd 0.159 0.659 0.500
6 Cd 0.841 0.341 0.500
7 Hg 0.649 0.149 0.000
8 Hg 0.351 0.851 0.000
9 Cd 0.659 0.841 0.500
10 Hg 0.149 0.351 0.000